Below is a relaxed structure of K2Na2MoW3O12, with properties calculated at the PBE+U level.

POSCAR file:
```
K2Na2MoW3O12
1.0
3.997 0.000 0.000
0.000 8.021 0.000
0.000 0.000 8.010
K Na Mo W O
2 2 1 3 12
direct
0.000 0.248 0.000 K
0.000 0.752 0.000 K
0.000 0.242 0.507 Na
0.000 0.758 0.507 Na
0.500 0.000 0.750 Mo
0.500 0.000 0.254 W
0.500 0.500 0.254 W
0.500 0.500 0.749 W
0.000 0.000 0.259 O
0.000 0.000 0.747 O
0.000 0.500 0.255 O
0.000 0.500 0.747 O
0.500 0.000 0.014 O
0.500 0.000 0.494 O
0.500 0.258 0.257 O
0.500 0.261 0.746 O
0.500 0.500 0.003 O
0.500 0.500 0.500 O
0.500 0.739 0.746 O
0.500 0.742 0.257 O
```

- Total energy: -6.621 eV/atom
- Magnetic moment: 3.000 μB per formula unit
- Space group: No. 25